Here is a geometry-optimized SmCu4Si3 structure from Alexandria. Energies are from PBE.

Output
Total DFT energy (no corrections), eV/atom: -5.0356
DOS at the Fermi energy, states/eV/atom: 0.455
Formation energy from raw total energies, meV per atom: -364
Total magnetic moment, μB/atom: 0.000

Cell and atoms, written as CIF:
```
data_SmCu4Si3
_cell_length_a 4.0537
_cell_length_b 4.0537
_cell_length_c 7.5348
_cell_angle_alpha 90.00
_cell_angle_beta 90.00
_cell_angle_gamma 90.00
_space_group_name_H-M_alt 'P 4/m m m'
_space_group_IT_number 123
_space_group_name_Hall '-P 4 2'
loop_
_atom_site_label
_atom_site_fract_x
_atom_site_fract_y
_atom_site_fract_z
_atom_site_occupancy
Sm1 0.0000 0.0000 0.0000 1
Cu1 0.0000 0.5000 0.3260 1
Si1 0.0000 0.0000 0.5000 1
Si2 0.5000 0.5000 0.1560 1
```

=====

Here is a geometry-optimized Sm2CuSi structure from Alexandria. Energies are from PBE.

Output
Total DFT energy (no corrections), eV/atom: -4.5374
DOS at the Fermi energy, states/eV/atom: 0.806
Formation energy from raw total energies, meV per atom: 202
Total magnetic moment, μB/atom: 0.000

Cell and atoms, written as CIF:
```
data_Sm2CuSi
_cell_length_a 4.2114
_cell_length_b 4.2114
_cell_length_c 26.2538
_cell_angle_alpha 90.00
_cell_angle_beta 90.00
_cell_angle_gamma 120.00
_space_group_name_H-M_alt 'R -3 m'
_space_group_IT_number 166
_space_group_name_Hall '-R 3 2"'
loop_
_atom_site_label
_atom_site_fract_x
_atom_site_fract_y
_atom_site_fract_z
_atom_site_occupancy
Sm1 0.0000 0.0000 0.1083 1
Cu1 0.0000 0.0000 0.0000 1
Si1 0.0000 0.0000 0.5000 1
```

=====

Here is a geometry-optimized SmCu12Si6 structure from Alexandria. Energies are from PBE.

Output
Total DFT energy (no corrections), eV/atom: -4.5528
DOS at the Fermi energy, states/eV/atom: 0.210
Formation energy from raw total energies, meV per atom: -5
Total magnetic moment, μB/atom: 0.000

Cell and atoms, written as CIF:
```
data_SmCu12Si6
_cell_length_a 10.4912
_cell_length_b 10.4912
_cell_length_c 8.4824
_cell_angle_alpha 90.00
_cell_angle_beta 90.00
_cell_angle_gamma 120.00
_space_group_name_H-M_alt 'R -3 m'
_space_group_IT_number 166
_space_group_name_Hall '-R 3 2"'
loop_
_atom_site_label
_atom_site_fract_x
_atom_site_fract_y
_atom_site_fract_z
_atom_site_occupancy
Sm1 0.0000 0.0000 0.0000 1
Cu1 0.0000 0.3855 0.5000 1
Cu2 0.0857 0.1714 0.3091 1
Si1 0.0503 0.5251 0.2508 1
```

=====

Here is a geometry-optimized Sm3CuSi2 structure from Alexandria. Energies are from PBE.

Output
Total DFT energy (no corrections), eV/atom: -5.4498
DOS at the Fermi energy, states/eV/atom: 0.940
Formation energy from raw total energies, meV per atom: -600
Total magnetic moment, μB/atom: 0.096

Cell and atoms, written as CIF:
```
data_Sm3CuSi2
_cell_length_a 11.5636
_cell_length_b 4.2332
_cell_length_c 11.6295
_cell_angle_alpha 90.00
_cell_angle_beta 90.00
_cell_angle_gamma 90.00
_space_group_name_H-M_alt 'P n m a'
_space_group_IT_number 62
_space_group_name_Hall '-P 2ac 2n'
loop_
_atom_site_label
_atom_site_fract_x
_atom_site_fract_y
_atom_site_fract_z
_atom_site_occupancy
Sm1 0.0600 0.2500 0.1220 1
Sm2 0.1216 0.7500 0.5626 1
Sm3 0.2059 0.2500 0.8039 1
Cu1 0.1313 0.2500 0.3657 1
Si1 0.0276 0.7500 0.3164 1
Si2 0.1929 0.7500 0.9916 1
```

=====

Here is a geometry-optimized Sm2Cu5Si4 structure from Alexandria. Energies are from PBE.

Output
Total DFT energy (no corrections), eV/atom: -5.0599
DOS at the Fermi energy, states/eV/atom: 0.283
Formation energy from raw total energies, meV per atom: -368
Total magnetic moment, μB/atom: 0.000

Cell and atoms, written as CIF:
```
data_Sm2Cu5Si4
_cell_length_a 5.5973
_cell_length_b 9.2231
_cell_length_c 13.8497
_cell_angle_alpha 90.00
_cell_angle_beta 90.00
_cell_angle_gamma 90.00
_space_group_name_H-M_alt 'F m m m'
_space_group_IT_number 69
_space_group_name_Hall '-F 2 2'
loop_
_atom_site_label
_atom_site_fract_x
_atom_site_fract_y
_atom_site_fract_z
_atom_site_occupancy
Sm1 0.0000 0.0000 0.1447 1
Cu1 0.0000 0.0000 0.5000 1
Cu2 0.2500 0.2500 0.0000 1
Cu3 0.2500 0.2500 0.2500 1
Si1 0.0000 0.1370 0.3616 1
```

=====

Here is a geometry-optimized Sm4CuSi3 structure from Alexandria. Energies are from PBE.

Output
Total DFT energy (no corrections), eV/atom: -5.5344
DOS at the Fermi energy, states/eV/atom: 0.733
Formation energy from raw total energies, meV per atom: -629
Total magnetic moment, μB/atom: 0.001

Cell and atoms, written as CIF:
```
data_Sm4CuSi3
_cell_length_a 3.9659
_cell_length_b 4.3089
_cell_length_c 10.9662
_cell_angle_alpha 90.00
_cell_angle_beta 90.00
_cell_angle_gamma 90.00
_space_group_name_H-M_alt 'P m m 2'
_space_group_IT_number 25
_space_group_name_Hall 'P 2 -2'
loop_
_atom_site_label
_atom_site_fract_x
_atom_site_fract_y
_atom_site_fract_z
_atom_site_occupancy
Sm1 0.0000 0.0000 0.0000 1
Sm2 0.0000 0.5000 0.4985 1
Sm3 0.5000 0.0000 0.7184 1
Sm4 0.5000 0.5000 0.2180 1
Cu1 0.0000 0.5000 0.7966 1
Si1 0.0000 0.0000 0.2860 1
Si2 0.5000 0.0000 0.4275 1
Si3 0.5000 0.5000 0.9315 1
```

=====

Here is a geometry-optimized SmCu4Si structure from Alexandria. Energies are from PBE.

Output
Total DFT energy (no corrections), eV/atom: -4.5177
DOS at the Fermi energy, states/eV/atom: 0.571
Formation energy from raw total energies, meV per atom: -97
Total magnetic moment, μB/atom: 0.000

Cell and atoms, written as CIF:
```
data_SmCu4Si
_cell_length_a 7.1627
_cell_length_b 7.1627
_cell_length_c 7.1627
_cell_angle_alpha 90.00
_cell_angle_beta 90.00
_cell_angle_gamma 90.00
_space_group_name_H-M_alt 'F -4 3 m'
_space_group_IT_number 216
_space_group_name_Hall 'F -4 2 3'
loop_
_atom_site_label
_atom_site_fract_x
_atom_site_fract_y
_atom_site_fract_z
_atom_site_occupancy
Sm1 0.0000 0.0000 0.0000 1
Cu1 0.1243 0.1243 0.6243 1
Si1 0.2500 0.2500 0.2500 1
```

=====

Here is a geometry-optimized SmCu2Si2 structure from Alexandria. Energies are from PBE.

Output
Total DFT energy (no corrections), eV/atom: -5.3554
DOS at the Fermi energy, states/eV/atom: 0.198
Formation energy from raw total energies, meV per atom: -604
Total magnetic moment, μB/atom: 0.000

Cell and atoms, written as CIF:
```
data_SmCu2Si2
_cell_length_a 5.7214
_cell_length_b 5.7202
_cell_length_c 5.7306
_cell_angle_alpha 90.00
_cell_angle_beta 119.74
_cell_angle_gamma 90.00
_space_group_name_H-M_alt 'C 1 2/m 1'
_space_group_IT_number 12
_space_group_name_Hall '-C 2y'
loop_
_atom_site_label
_atom_site_fract_x
_atom_site_fract_y
_atom_site_fract_z
_atom_site_occupancy
Sm1 0.0000 0.0000 0.0000 1
Cu1 0.0000 0.2493 0.5000 1
Si1 0.1200 0.5000 0.2403 1
```

=====

Here is a geometry-optimized SmCuSi3 structure from Alexandria. Energies are from PBE.

Output
Total DFT energy (no corrections), eV/atom: -5.4531
DOS at the Fermi energy, states/eV/atom: 0.116
Formation energy from raw total energies, meV per atom: -436
Total magnetic moment, μB/atom: 0.000

Cell and atoms, written as CIF:
```
data_SmCuSi3
_cell_length_a 4.0710
_cell_length_b 21.1259
_cell_length_c 4.0836
_cell_angle_alpha 90.00
_cell_angle_beta 90.00
_cell_angle_gamma 90.00
_space_group_name_H-M_alt 'C m m m'
_space_group_IT_number 65
_space_group_name_Hall '-C 2 2'
loop_
_atom_site_label
_atom_site_fract_x
_atom_site_fract_y
_atom_site_fract_z
_atom_site_occupancy
Sm1 0.0000 0.1674 0.0000 1
Cu1 0.0000 0.3887 0.5000 1
Si1 0.0000 0.0553 0.5000 1
Si2 0.0000 0.2788 0.5000 1
Si3 0.0000 0.4447 0.0000 1
```

=====

Here is a geometry-optimized SmCuSi2 structure from Alexandria. Energies are from PBE.

Output
Total DFT energy (no corrections), eV/atom: -5.1927
DOS at the Fermi energy, states/eV/atom: 0.193
Formation energy from raw total energies, meV per atom: -277
Total magnetic moment, μB/atom: 0.000

Cell and atoms, written as CIF:
```
data_SmCuSi2
_cell_length_a 3.9661
_cell_length_b 5.8387
_cell_length_c 7.0444
_cell_angle_alpha 90.00
_cell_angle_beta 90.00
_cell_angle_gamma 90.00
_space_group_name_H-M_alt 'A m m 2'
_space_group_IT_number 38
_space_group_name_Hall 'A 2 -2'
loop_
_atom_site_label
_atom_site_fract_x
_atom_site_fract_y
_atom_site_fract_z
_atom_site_occupancy
Sm1 0.0000 0.0000 0.0000 1
Cu1 0.5000 0.0000 0.4091 1
Si1 0.5000 0.1942 0.7062 1
```

=====

Here is a geometry-optimized Sm3Cu7Si4 structure from Alexandria. Energies are from PBE.

Output
Total DFT energy (no corrections), eV/atom: -5.0557
DOS at the Fermi energy, states/eV/atom: 0.366
Formation energy from raw total energies, meV per atom: -447
Total magnetic moment, μB/atom: 0.000

Cell and atoms, written as CIF:
```
data_Sm3Cu7Si4
_cell_length_a 15.2160
_cell_length_b 4.1342
_cell_length_c 9.0592
_cell_angle_alpha 90.00
_cell_angle_beta 126.17
_cell_angle_gamma 90.00
_space_group_name_H-M_alt 'C 1 2/m 1'
_space_group_IT_number 12
_space_group_name_Hall '-C 2y'
loop_
_atom_site_label
_atom_site_fract_x
_atom_site_fract_y
_atom_site_fract_z
_atom_site_occupancy
Sm1 0.0000 0.0000 0.0000 1
Sm2 0.1936 0.5000 0.6949 1
Cu1 0.0000 0.0000 0.5000 1
Cu2 0.0027 0.5000 0.7127 1
Cu3 0.1452 0.0000 0.8807 1
Cu4 0.1725 0.5000 0.3218 1
Si1 0.1201 0.0000 0.4041 1
Si2 0.1599 0.5000 0.0321 1
```

=====

What did the ninth record say?
Here is a geometry-optimized SmCuSi3 structure from Alexandria. Energies are from PBE.

Output
Total DFT energy (no corrections), eV/atom: -5.4531
DOS at the Fermi energy, states/eV/atom: 0.116
Formation energy from raw total energies, meV per atom: -436
Total magnetic moment, μB/atom: 0.000

Cell and atoms, written as CIF:
```
data_SmCuSi3
_cell_length_a 4.0710
_cell_length_b 21.1259
_cell_length_c 4.0836
_cell_angle_alpha 90.00
_cell_angle_beta 90.00
_cell_angle_gamma 90.00
_space_group_name_H-M_alt 'C m m m'
_space_group_IT_number 65
_space_group_name_Hall '-C 2 2'
loop_
_atom_site_label
_atom_site_fract_x
_atom_site_fract_y
_atom_site_fract_z
_atom_site_occupancy
Sm1 0.0000 0.1674 0.0000 1
Cu1 0.0000 0.3887 0.5000 1
Si1 0.0000 0.0553 0.5000 1
Si2 0.0000 0.2788 0.5000 1
Si3 0.0000 0.4447 0.0000 1
```